No. 1
Computed, not measured: a crystal of Cr2InAg relaxed with PBEsol at the SCAN level of DFT.

Properties
SG: I-4m2 (119)
Total DFT energy (no corrections) in eV per cell: -101.29
E_form in kcal/mol of atoms: 1.349
Mass density in g/cm³: 8.4

abc: 4.0202 4.0202 4.8920
angles: 114.26 114.26 90.00
Closest atoms and distances in Å follow each position.
Sites, in units of the cell vectors:
Ag 0.2500 0.7500 0.5000  8 Cr 2.83-2.84, 4 In 2.83
Cr 0.0000 0.0000 0.0000  4 Ag 2.83, 4 Cr 2.83, 4 In 2.84
Cr 0.7500 0.2500 0.5000  4 Cr 2.83, 4 In 2.83, 4 Ag 2.84
In 0.5000 0.5000 0.0000  8 Cr 2.83-2.84, 4 Ag 2.83


No. 2
Computed, not measured: a crystal of KBaIr relaxed with PBEsol at the SCAN level of DFT.

Properties
SG: F-43m (216)
Total DFT energy (no corrections) in eV per cell: -116.69
E_form in kcal/mol of atoms: 17.618
E above lowest polymorph in meV per atom: 345
Mass density in g/cm³: 6.9

abc: 5.0022 5.0022 5.0022
angles: 60.00 60.00 60.00
Closest atoms and distances in Å follow each position.
Sites, in units of the cell vectors:
Ba 0.0000 0.0000 0.0000  4 K 3.06
Ir 0.5000 0.5000 0.5000  4 K 3.06
K 0.2500 0.2500 0.2500  4 Ba 3.06, 4 Ir 3.06


No. 3
Computed, not measured: a crystal of InCuO2 relaxed with PBEsol at the SCAN level of DFT.

Properties
SG: P6_3/mmc (194)
Total DFT energy (no corrections) in eV per cell: -132.49
Mass density in g/cm³: 6.4

abc: 3.3037 3.3037 11.5256
angles: 90.00 90.00 120.00
Closest atoms and distances in Å follow each position.
Sites, in units of the cell vectors:
In 0.0000 0.0000 0.5000  6 O 2.18
In 0.0000 0.0000 0.0000  6 O 2.18
Cu 0.6667 0.3333 0.7500  2 O 1.82
Cu 0.3333 0.6667 0.2500  2 O 1.82
O 0.3333 0.6667 0.4080  1 Cu 1.82
O 0.6667 0.3333 0.9080  1 Cu 1.82
O 0.3333 0.6667 0.0920  1 Cu 1.82
O 0.6667 0.3333 0.5920  1 Cu 1.82


No. 4
Computed, not measured: a crystal of RbRe3Ni relaxed with PBEsol at the SCAN level of DFT.

Properties
SG: Pm-3m (221)
Total DFT energy (no corrections) in eV per cell: -238.21
E_form in kcal/mol of atoms: 55.309
Mass density in g/cm³: 12.0

abc: 4.5959 4.5959 4.5959
angles: 90.00 90.00 90.00
Closest atoms and distances in Å follow each position.
Sites, in units of the cell vectors:
Re 0.0000 0.5000 0.0000  2 Ni 2.30
Re 0.0000 0.0000 0.5000  2 Ni 2.30
Re 0.5000 0.0000 0.0000  2 Ni 2.30
Rb 0.5000 0.5000 0.5000  12 Re 3.25
Ni 0.0000 0.0000 0.0000  6 Re 2.30


No. 5
Computed, not measured: a crystal of TaMn4Mo relaxed with PBEsol at the SCAN level of DFT.

Properties
SG: F-43m (216)
Total DFT energy (no corrections) in eV per cell: -174.65
E_form in kcal/mol of atoms: -0.627
Mass density in g/cm³: 11.2

abc: 4.7092 4.7092 4.7092
angles: 60.00 60.00 60.00
Closest atoms and distances in Å follow each position.
Sites, in units of the cell vectors:
Mn 0.6261 0.6261 0.1217  6 Mn 2.33-2.38
Mn 0.1217 0.6261 0.6261  6 Mn 2.33-2.38
Mn 0.6261 0.1217 0.6261  6 Mn 2.33-2.38
Mn 0.6261 0.6261 0.6261  6 Mn 2.33-2.38
Mo 0.2500 0.2500 0.2500  12 Mn 2.76, 4 Ta 2.88
Ta 0.0000 0.0000 0.0000  12 Mn 2.76, 4 Mo 2.88


No. 6
Computed, not measured: a crystal of La3AlTe relaxed with PBEsol at the SCAN level of DFT.

Properties
SG: Pm-3m (221)
Total DFT energy (no corrections) in eV per cell: -175.68
Mass density in g/cm³: 5.3

abc: 5.6374 5.6374 5.6374
angles: 90.00 90.00 90.00
Closest atoms and distances in Å follow each position.
Sites, in units of the cell vectors:
Te 0.5000 0.5000 0.5000  12 La 3.99
Al 0.0000 0.0000 0.0000  6 La 2.82
La 0.0000 0.5000 0.0000  2 Al 2.82
La 0.0000 0.0000 0.5000  2 Al 2.82
La 0.5000 0.0000 0.0000  2 Al 2.82


No. 7
Computed, not measured: a crystal of ZrCdPb2 relaxed with PBEsol at the SCAN level of DFT.

Properties
SG: C2/m (12)
Total DFT energy (no corrections) in eV per cell: -212.71
E_form in kcal/mol of atoms: -0.218
Mass density in g/cm³: 10.5

abc: 3.2004 5.6405 5.6611
angles: 96.51 90.00 106.48
Closest atoms and distances in Å follow each position.
Sites, in units of the cell vectors:
Cd 0.5000 0.0000 0.0000  6 Pb 3.17-3.38, 2 Cd 3.20, 4 Zr 3.25
Pb 0.7438 0.4876 0.7397  6 Pb 3.17-3.34, 3 Cd 3.17-3.38, 3 Zr 3.23-3.24
Pb 0.2562 0.5124 0.2603  6 Pb 3.17-3.34, 3 Cd 3.17-3.38, 3 Zr 3.23-3.24
Zr 0.0000 0.0000 0.5000  2 Zr 3.20, 6 Pb 3.23-3.24, 4 Cd 3.25


No. 8
Computed, not measured: a crystal of LiMn2W relaxed with PBEsol at the SCAN level of DFT.

Properties
SG: Pmmm (47)
Total DFT energy (no corrections) in eV per cell: -107.46
E_form in kcal/mol of atoms: 6.528
Mass density in g/cm³: 10.1

abc: 2.9684 3.9153 4.2373
angles: 90.00 90.00 90.00
Closest atoms and distances in Å follow each position.
Sites, in units of the cell vectors:
Li 0.0000 0.5000 0.5000  4 Mn 2.46, 4 W 2.59
Mn 0.0000 0.0000 0.0000  4 W 2.46, 4 Mn 2.59
Mn 0.5000 0.0000 0.5000  4 Li 2.46, 4 Mn 2.59
W 0.5000 0.5000 0.0000  4 Mn 2.46, 4 Li 2.59


No. 9
Computed, not measured: a crystal of MgZrHgTe2 relaxed with PBEsol at the SCAN level of DFT.

Properties
SG: P4/mmm (123)
Total DFT energy (no corrections) in eV per cell: -177.43
Mass density in g/cm³: 6.6

abc: 4.9007 5.4107 5.4107
angles: 90.00 90.00 90.00
Closest atoms and distances in Å follow each position.
Sites, in units of the cell vectors:
Mg 0.0000 0.0000 0.0000  2 Hg 2.45, 4 Te 2.71
Te 0.0000 0.0000 0.5000  2 Mg 2.71
Te 0.0000 0.5000 0.0000  2 Mg 2.71
Hg 0.5000 0.0000 0.0000  2 Mg 2.45
Zr 0.5000 0.5000 0.5000  8 Te 3.65, 4 Hg 3.83


No. 10
Computed, not measured: a crystal of Zr2NiP relaxed with PBEsol at the SCAN level of DFT.

Properties
SG: Amm2 (38)
Total DFT energy (no corrections) in eV per cell: -92.33
E_form in kcal/mol of atoms: -25.116
Mass density in g/cm³: 7.0

abc: 3.6318 3.6463 5.2342
angles: 90.00 110.30 90.00
Closest atoms and distances in Å follow each position.
Sites, in units of the cell vectors:
Ni 0.6915 0.0000 0.3829  2 P 2.29
Zr 0.9761 0.0000 0.9523  4 P 2.68, 3 Ni 2.79-2.80
Zr 0.2705 0.5000 0.5409  4 Ni 2.69, 3 P 2.75-2.82
P 0.5510 0.5000 0.1021  2 Ni 2.29


No. 11
Computed, not measured: a crystal of AsPH2Pt relaxed with PBEsol at the SCAN level of DFT.

Properties
SG: P4/mmm (123)
Total DFT energy (no corrections) in eV per cell: -106.63
Mass density in g/cm³: 8.0

abc: 3.5048 3.5048 5.0917
angles: 90.00 90.00 90.00
Closest atoms and distances in Å follow each position.
Sites, in units of the cell vectors:
P 0.5000 0.5000 0.5000  4 As 2.48
As 0.0000 0.0000 0.5000  4 P 2.48, 2 Pt 2.55
Pt 0.0000 0.0000 0.0000  4 H 1.75
H 0.0000 0.5000 0.0000  2 Pt 1.75
H 0.5000 0.0000 0.0000  2 Pt 1.75


No. 12
Computed, not measured: a crystal of Y2HfGaCo relaxed with PBEsol at the SCAN level of DFT.

Properties
SG: P4/mmm (123)
Total DFT energy (no corrections) in eV per cell: -148.38
E_form in kcal/mol of atoms: 16.760
Mass density in g/cm³: 6.2

abc: 4.3129 5.4952 5.4952
angles: 90.00 90.00 90.00
Closest atoms and distances in Å follow each position.
Sites, in units of the cell vectors:
Y 0.0000 0.0000 0.5000  2 Hf 2.75
Y 0.0000 0.5000 0.0000  2 Hf 2.75
Co 0.5000 0.0000 0.0000  2 Hf 2.16
Hf 0.0000 0.0000 0.0000  2 Co 2.16
Ga 0.5000 0.5000 0.5000  8 Y 3.49, 4 Co 3.89